## RbAcCr2O8 (GGA+U)

Data for a relaxed structure of RbAcCr2O8.

## Properties
total DFT energy (no corrections): -6.88 eV/atom

a = 5.9820 Å, b = 5.9820 Å, c = 8.3513 Å
α = 90.00°, β = 90.00°, γ = 120.00°
Space group P-3m1 (No. 164)
Asymmetric unit:
Rb (0.0000, 0.0000, 0.0000) [1 per cell]
Ac (0.0000, 0.0000, 0.5000) [1 per cell]
Cr (0.3333, 0.6667, 0.7611) [2 per cell]
O (0.1803, 0.3607, 0.6941) [6 per cell]
O (0.3333, 0.6667, 0.9552) [2 per cell]